[1]
Material: Lu5Ir2
Method: DFT, meta-GGA SCAN
State: single point on PBEsol structure

Unit cell a=8.1221 b=8.1221 c=7.0101 alpha=96.51 beta=96.51 gamma=45.54
Element x y z (fractional)
Lu1 0.0718 0.9282 0.7500
Lu2 0.1549 0.2875 0.3167
Lu3 0.2858 0.5325 0.0792
Lu4 0.2875 0.1549 0.8167
Lu5 0.4675 0.7142 0.4208
Lu6 0.5325 0.2858 0.5792
Lu7 0.7125 0.8451 0.1833
Lu8 0.7142 0.4675 0.9208
Lu9 0.8451 0.7125 0.6833
Lu10 0.9282 0.0718 0.2500
Ir1 0.1091 0.6730 0.4276
Ir2 0.3270 0.8909 0.0724
Ir3 0.6730 0.1091 0.9276
Ir4 0.8909 0.3270 0.5724

calculated total energy = -60.761 eV/atom
energy of formation from the pure elements = -0.9152 eV per atom

---

[2]
Material: PPtCl4
Method: DFT, meta-GGA SCAN
State: single point on PBEsol structure

Unit cell a=5.4162 b=5.4162 c=5.4162 alpha=60.00 beta=60.00 gamma=60.00
Element x y z (fractional)
P1 0.0000 0.0000 0.0000
Pt1 0.2500 0.2500 0.2500
Cl1 0.1281 0.6240 0.6240
Cl2 0.6240 0.1281 0.6240
Cl3 0.6240 0.6240 0.1281
Cl4 0.6240 0.6240 0.6240

calculated total energy = -17.217 eV/atom
formation energy from raw total energies = 9.20 eV/f.u.

---

[3]
Material: TlSi2Tc
Method: DFT, meta-GGA SCAN
State: single point on PBEsol structure

Unit cell a=5.1767 b=5.1767 c=5.1767 alpha=143.93 beta=123.61 gamma=68.78
Element x y z (fractional)
Tl1 0.0000 0.0000 0.0000
Si1 0.2766 0.7766 0.5000
Si2 0.7234 0.2234 0.5000
Tc1 0.5000 0.5000 0.0000

calculated total energy = -31.206 eV/atom
excess energy over the best structure of this formula in the dataset = 437 meV per atom
formation energy from raw total energies = 2.63 eV/f.u.

---

[4]
Material: ZnAgW2
Method: DFT, meta-GGA SCAN
State: single point on PBEsol structure

Unit cell a=9.5198 b=9.5198 c=9.5198 alpha=16.62 beta=16.62 gamma=16.62
Element x y z (fractional)
Zn1 0.0000 0.0000 0.0000
Ag1 0.5000 0.5000 0.5000
W1 0.2527 0.2527 0.2527
W2 0.7473 0.7473 0.7473

calculated total energy = -45.532 eV/atom
energy of formation from the pure elements = 0.5328 eV per atom

---

[5]
Material: ZrSc2AlOs
Method: DFT, meta-GGA SCAN
State: single point on PBEsol structure

Unit cell a=4.9244 b=4.9244 c=4.9775 alpha=90.00 beta=90.00 gamma=90.00
Element x y z (fractional)
Zr1 0.0000 0.0000 0.0000
Sc1 0.0000 0.5000 0.5000
Sc2 0.5000 0.0000 0.5000
Al1 0.5000 0.5000 0.0000
Os1 0.0000 0.0000 0.5000

calculated total energy = -27.706 eV/atom
energy of formation from the pure elements = 0.0547 eV per atom

---

[6]
Material: CaLaAu2
Method: DFT, meta-GGA SCAN
State: single point on PBEsol structure

Unit cell a=4.2647 b=4.2647 c=6.0380 alpha=90.00 beta=90.00 gamma=90.00
Element x y z (fractional)
Ca1 0.0000 0.0000 0.0000
La1 0.5000 0.5000 0.5000
Au1 0.0000 0.0000 0.5000
Au2 0.5000 0.5000 0.0000

calculated total energy = -48.699 eV/atom
energy of formation from the pure elements = -0.9282 eV per atom

---

[7]
Material: Ho3Ge3Ir2
Method: DFT, meta-GGA SCAN
State: single point on PBEsol structure

Unit cell a=5.5704 b=5.5704 c=14.0388 alpha=90.00 beta=90.00 gamma=134.91
Element x y z (fractional)
Ho1 0.0838 0.9162 0.6105
Ho2 0.0838 0.9162 0.8895
Ho3 0.3570 0.6430 0.7500
Ho4 0.6430 0.3570 0.2500
Ho5 0.9162 0.0838 0.1105
Ho6 0.9162 0.0838 0.3895
Ge1 0.3451 0.6549 0.2500
Ge2 0.3770 0.6230 0.5352
Ge3 0.3770 0.6230 0.9648
Ge4 0.6230 0.3770 0.0352
Ge5 0.6230 0.3770 0.4648
Ge6 0.6549 0.3451 0.7500
Ir1 0.2005 0.7995 0.1024
Ir2 0.2005 0.7995 0.3976
Ir3 0.7995 0.2005 0.6024
Ir4 0.7995 0.2005 0.8976

calculated total energy = -44.402 eV/atom
energy of formation from the pure elements = -1.0984 eV per atom

---

[8]
Material: ZnH16C6N6O10
Method: DFT, meta-GGA SCAN
State: single point on PBEsol structure

Unit cell a=8.5366 b=8.5366 c=11.2868 alpha=110.70 beta=110.70 gamma=71.53
Element x y z (fractional)
Zn1 0.1722 0.8278 0.7500
Zn2 0.8278 0.1722 0.2500
H1 0.0010 0.2278 0.9171
H2 0.0343 0.6906 0.2152
H3 0.0429 0.3648 0.2804
H4 0.0789 0.1884 0.1721
H5 0.1583 0.6053 0.9227
H6 0.1884 0.0789 0.6721
H7 0.2278 0.0010 0.4171
H8 0.2536 0.4617 0.2548
H9 0.3094 0.9657 0.2848
H10 0.3223 0.4271 0.9571
H11 0.3643 0.3958 0.6523
H12 0.3648 0.0429 0.7804
H13 0.3947 0.8417 0.5773
H14 0.3958 0.3643 0.1523
H15 0.4271 0.3223 0.4571
H16 0.4617 0.2536 0.7548
H17 0.5383 0.7464 0.2452
H18 0.5729 0.6777 0.5429
H19 0.6042 0.6357 0.8477
H20 0.6053 0.1583 0.4227
H21 0.6352 0.9571 0.2196
H22 0.6357 0.6042 0.3477
H23 0.6777 0.5729 0.0429
H24 0.6906 0.0343 0.7152
H25 0.7464 0.5383 0.7452
H26 0.7722 0.9990 0.5829
H27 0.8116 0.9211 0.3279
H28 0.8417 0.3947 0.0773
H29 0.9211 0.8116 0.8279
H30 0.9571 0.6352 0.7196
H31 0.9657 0.3094 0.7848
H32 0.9990 0.7722 0.0829
C1 0.0211 0.7476 0.4711
C2 0.1671 0.5892 0.4964
C3 0.1951 0.5545 0.0967
C4 0.2524 0.9789 0.0289
C5 0.4108 0.8329 0.0036
C6 0.4455 0.8049 0.4033
C7 0.5545 0.1951 0.5967
C8 0.5892 0.1671 0.9964
C9 0.7476 0.0211 0.9711
C10 0.8049 0.4455 0.9033
C11 0.8329 0.4108 0.5036
C12 0.9789 0.2524 0.5289
N1 0.0644 0.6778 0.1307
N2 0.2418 0.5408 0.9912
N3 0.2813 0.4436 0.1688
N4 0.3222 0.9356 0.3693
N5 0.4436 0.2813 0.6688
N6 0.4592 0.7582 0.5088
N7 0.5408 0.2418 0.4912
N8 0.5564 0.7187 0.3312
N9 0.6778 0.0644 0.6307
N10 0.7187 0.5564 0.8312
N11 0.7582 0.4592 0.0088
N12 0.9356 0.3222 0.8693
O1 0.0161 0.1407 0.4275
O2 0.0188 0.7180 0.7960
O3 0.0503 0.2462 0.6460
O4 0.1407 0.0161 0.9275
O5 0.1969 0.4633 0.4005
O6 0.2462 0.0503 0.1460
O7 0.2468 0.5966 0.6161
O8 0.2820 0.9812 0.7040
O9 0.4034 0.7532 0.8839
O10 0.4633 0.1969 0.9005
O11 0.5367 0.8031 0.0995
O12 0.5966 0.2468 0.1161
O13 0.7180 0.0188 0.2960
O14 0.7532 0.4034 0.3839
O15 0.7538 0.9497 0.8540
O16 0.8031 0.5367 0.5995
O17 0.8593 0.9839 0.0725
O18 0.9497 0.7538 0.3540
O19 0.9812 0.2820 0.2040
O20 0.9839 0.8593 0.5725

calculated total energy = -7.144 eV/atom

---

[9]
Material: CaLaPt2
Method: DFT, meta-GGA SCAN
State: single point on PBEsol structure

Unit cell a=5.7518 b=5.7518 c=5.7518 alpha=137.61 beta=137.61 gamma=61.50
Element x y z (fractional)
Ca1 0.0000 0.0000 0.0000
La1 0.7500 0.2500 0.5000
Pt1 0.2500 0.7500 0.5000
Pt2 0.5000 0.5000 0.0000

calculated total energy = -49.259 eV/atom
energy of formation from the pure elements = -0.9703 eV per atom

---

[10]
Material: GaSnPb2
Method: DFT, meta-GGA SCAN
State: single point on PBEsol structure

Unit cell a=5.3018 b=5.3018 c=5.3018 alpha=60.00 beta=60.00 gamma=60.00
Element x y z (fractional)
Ga1 0.0000 0.0000 0.0000
Sn1 0.5000 0.5000 0.5000
Pb1 0.2500 0.2500 0.2500
Pb2 0.7500 0.7500 0.7500

calculated total energy = -50.789 eV/atom
energy of formation from the pure elements = 0.1688 eV per atom

---

[11]
Material: SrLa3Rh
Method: DFT, meta-GGA SCAN
State: single point on PBEsol structure

Unit cell a=5.6658 b=5.6658 c=5.6658 alpha=90.00 beta=90.00 gamma=90.00
Element x y z (fractional)
Sr1 0.0000 0.0000 0.0000
La1 0.0000 0.5000 0.5000
La2 0.5000 0.0000 0.5000
La3 0.5000 0.5000 0.0000
Rh1 0.5000 0.5000 0.5000

calculated total energy = -37.389 eV/atom
excess energy over the best structure of this formula in the dataset = 0 meV per atom
energy of formation from the pure elements = -0.3164 eV per atom

---

[12]
Material: NbVCr
Method: DFT, meta-GGA SCAN
State: single point on PBEsol structure

Unit cell a=4.9299 b=4.9299 c=4.9299 alpha=120.51 beta=119.21 gamma=90.25
Element x y z (fractional)
Nb1 0.3737 0.1237 0.2500
Nb2 0.6263 0.8763 0.7500
V1 0.0000 0.5000 0.5000
V2 0.5000 0.5000 0.0000
Cr1 0.0000 0.0000 0.5000
Cr2 0.0000 0.5000 0.0000

calculated total energy = -23.085 eV/atom
energy of formation from the pure elements = -0.0845 eV per atom